<w>
Entry from Alexandria via LeMat-Bulk: a relaxed InSe2Cl crystal (GGA-PBE).

Values from the calculation:
Space group = I-4m2

a = 5.030 Å, b = 5.030 Å, c = 5.030 Å
α = 119.97°, β = 119.97°, γ = 90.06°
Fractional coordinates of all 4 atoms:
Cl 0.500 0.500 0.000
In 0.750 0.250 0.500
Se 0.000 0.000 0.000
Se 0.250 0.750 0.500


<x>
Entry from Alexandria via LeMat-Bulk: a relaxed InSe2Cl crystal (GGA-PBE).

Values from the calculation:
Space group = R-3m

a = 13.216 Å, b = 13.216 Å, c = 13.216 Å
α = 12.83°, β = 12.83°, γ = 12.83°
Fractional coordinates of all 4 atoms:
Cl 0.500 0.500 0.500
Se 0.927 0.927 0.927
Se 0.073 0.073 0.073
In 0.000 0.000 0.000


<y>
Entry from Alexandria via LeMat-Bulk: a relaxed InSe2Cl crystal (GGA-PBE).

Values from the calculation:
Space group = Fm-3m

a = 4.968 Å, b = 4.968 Å, c = 4.968 Å
α = 60.00°, β = 60.00°, γ = 60.00°
Fractional coordinates of all 4 atoms:
Cl 0.000 0.000 0.000
Se 0.250 0.250 0.250
Se 0.750 0.750 0.750
In 0.500 0.500 0.500


<z>
Entry from Alexandria via LeMat-Bulk: a relaxed InSe2Cl crystal (GGA-PBE).

Values from the calculation:
Space group = I4/mmm

a = 7.325 Å, b = 7.325 Å, c = 7.325 Å
α = 148.74°, β = 148.74°, γ = 44.80°
Fractional coordinates of all 4 atoms:
Cl 0.250 0.750 0.500
In 0.750 0.250 0.500
Se 0.000 0.000 0.000
Se 0.500 0.500 0.000


<z> wins, 0.305 eV/atom ahead of the next structure.